First-principles (PBE) data for a relaxed VGaH2Cl crystal, as listed in Alexandria via LeMat-Bulk.

Unit cell a=3.6400 b=5.1539 c=3.6400 alpha=90.00 beta=90.00 gamma=90.00
Last column: nearest neighbours and their distance in Å.
Positions (direct):
1 Cl 0.0000 0.0000 0.0000  4 H 1.82
2 Ga 0.5000 0.5000 0.5000  4 V 2.57
3 V 0.0000 0.5000 0.0000  4 Ga 2.57, 2 Cl 2.58
4 H 0.0000 0.0000 0.5000  2 Cl 1.82
5 H 0.5000 0.0000 0.0000  2 Cl 1.82

Properties
- SG: P4/mmm (123)
- VASP energy: -3.385 eV per atom